--- A ---
Computed, not measured: an optimized crystal structure of LaPmMg2 at the PBE-GGA level of DFT.

```
LaPmMg2
1.0
-3.172 -1.489 -0.398
-0.879 -2.818 1.929
-5.548 5.364 8.534
La Pm Mg
1 1 2
Direct
0.668 0.668 0.997 La
0.499 0.499 0.503 Pm
0.085 0.085 0.745 Mg
0.248 0.248 0.255 Mg
```

Results
Calculated volume (Å³/atom): 30.5
Symmetry: R3m
Crystal system: trigonal


--- B ---
Computed, not measured: an optimized crystal structure of LaPmMg2 at the PBE-GGA level of DFT.

```
LaPmMg2
1.0
3.568 0.000 0.000
1.784 3.090 0.000
1.784 1.030 11.152
Mg La Pm
2 1 1
Direct
0.748 0.748 0.755 Mg
0.252 0.252 0.245 Mg
0.500 0.500 0.500 La
0.000 0.000 0.000 Pm
```

Results
Calculated volume (Å³/atom): 30.7
Symmetry: R-3m
Crystal system: trigonal


--- C ---
Computed, not measured: an optimized crystal structure of LaPmMg2 at the PBE-GGA level of DFT.

```
LaPmMg2
1.0
3.918 0.000 0.000
0.000 5.531 0.000
0.000 0.000 5.531
Mg La Pm
2 1 1
Direct
0.000 0.000 0.500 Mg
0.000 0.500 0.000 Mg
0.500 0.000 0.000 La
0.500 0.500 0.500 Pm
```

Results
Calculated volume (Å³/atom): 30.0
Symmetry: P4/mmm
Crystal system: tetragonal


Which structure loses on stability? A does.


--- A ---
Computed, not measured: an optimized crystal structure of LaPm6Mg at the PBE-GGA level of DFT.

```
LaPm6Mg
1.0
-4.211 -0.478 4.048
1.485 -4.877 2.890
4.074 3.289 7.550
La Pm Mg
1 6 1
Direct
0.500 0.500 0.500 La
0.443 0.936 0.707 Pm
0.936 0.443 0.707 Pm
0.064 0.557 0.293 Pm
0.557 0.064 0.293 Pm
0.639 0.639 0.075 Pm
0.361 0.361 0.925 Pm
0.000 0.000 0.000 Mg
```

Results
Calculated volume (Å³/atom): 36.9
Symmetry: C2/m
Crystal system: monoclinic


--- B ---
Computed, not measured: an optimized crystal structure of LaPm6Mg at the PBE-GGA level of DFT.

```
LaPm6Mg
1.0
-3.254 2.748 -2.803
-3.340 -3.851 0.102
-4.148 3.824 8.563
La Pm Mg
1 6 1
Direct
0.000 0.000 0.000 La
0.500 0.500 0.000 Pm
0.500 0.500 0.500 Pm
0.500 0.000 0.256 Pm
0.500 0.000 0.744 Pm
0.000 0.500 0.256 Pm
0.000 0.500 0.744 Pm
0.000 0.000 0.500 Mg
```

Results
Calculated volume (Å³/atom): 33.3
Symmetry: P4/mmm
Crystal system: tetragonal


Which structure loses on stability? A does.


--- A ---
Computed, not measured: an optimized crystal structure of La6PmMg2 at the PBE-GGA level of DFT.

```
La6PmMg2
1.0
5.607 0.004 1.583
2.693 5.952 1.197
0.399 -0.623 9.283
La Pm Mg
6 1 2
Direct
0.981 0.194 0.846 La
0.326 0.194 0.154 La
0.674 0.806 0.846 La
0.340 0.820 0.500 La
0.660 0.180 0.500 La
0.019 0.806 0.154 La
0.000 0.500 0.500 Pm
0.340 0.499 0.820 Mg
0.660 0.501 0.180 Mg
```

Results
Calculated volume (Å³/atom): 34.2
Symmetry: P-1
Crystal system: triclinic


--- B ---
Computed, not measured: an optimized crystal structure of La6PmMg2 at the PBE-GGA level of DFT.

```
La6PmMg2
1.0
5.020 0.000 0.000
0.000 5.020 0.000
0.000 0.000 12.482
La Pm Mg
6 1 2
Direct
0.000 0.500 0.286 La
0.500 0.000 0.286 La
0.000 0.500 0.714 La
0.500 0.000 0.714 La
0.500 0.500 0.500 La
0.000 0.000 0.500 La
0.000 0.000 0.000 Pm
0.500 0.500 0.109 Mg
0.500 0.500 0.891 Mg
```

Results
Calculated volume (Å³/atom): 35.0
Symmetry: P4/mmm
Crystal system: tetragonal


Which structure loses on stability? B does.


--- A ---
Computed, not measured: an optimized crystal structure of La2PmMg at the PBE-GGA level of DFT.

```
La2PmMg
1.0
5.743 0.000 0.000
2.871 4.974 0.000
2.871 1.658 4.689
Mg La Pm
1 2 1
Direct
0.500 0.500 0.500 Mg
0.250 0.250 0.250 La
0.750 0.750 0.750 La
0.000 0.000 0.000 Pm
```

Results
Calculated volume (Å³/atom): 33.5
Symmetry: Fm-3m
Crystal system: cubic


--- B ---
Computed, not measured: an optimized crystal structure of La2PmMg at the PBE-GGA level of DFT.

```
La2PmMg
1.0
-1.786 -1.392 -2.871
-3.332 -1.439 0.442
-6.503 9.521 -2.902
La Pm Mg
2 1 1
Direct
0.080 0.080 0.759 La
0.253 0.253 0.240 La
0.500 0.500 0.501 Pm
0.667 0.667 0.000 Mg
```

Results
Calculated volume (Å³/atom): 33.9
Symmetry: R3m
Crystal system: trigonal


Which structure loses on stability? B does.


--- A ---
Computed, not measured: an optimized crystal structure of La2PmMg at the PBE-GGA level of DFT.

```
La2PmMg
1.0
-2.732 3.976 -1.304
-3.018 -0.733 4.088
3.061 3.023 2.802
Mg La Pm
1 2 1
Direct
0.500 0.000 0.000 Mg
0.000 0.000 0.500 La
0.000 0.500 0.000 La
0.500 0.500 0.500 Pm
```

Results
Calculated volume (Å³/atom): 32.9
Symmetry: P4/mmm
Crystal system: tetragonal


--- B ---
Computed, not measured: an optimized crystal structure of La2PmMg at the PBE-GGA level of DFT.

```
La2PmMg
1.0
3.816 0.000 0.000
0.000 3.816 0.000
0.000 0.000 9.243
Mg La Pm
1 2 1
Direct
0.500 0.500 0.000 Mg
0.000 0.000 0.771 La
0.000 0.000 0.229 La
0.500 0.500 0.500 Pm
```

Results
Calculated volume (Å³/atom): 33.6
Symmetry: P4/mmm
Crystal system: tetragonal


--- C ---
Computed, not measured: an optimized crystal structure of La2PmMg at the PBE-GGA level of DFT.

```
La2PmMg
1.0
3.557 0.000 0.000
1.778 3.080 0.000
1.778 1.027 12.836
Mg La Pm
1 2 1
Direct
0.000 0.000 0.000 Mg
0.089 0.089 0.733 La
0.911 0.911 0.267 La
0.500 0.500 0.500 Pm
```

Results
Calculated volume (Å³/atom): 35.2
Symmetry: R-3m
Crystal system: trigonal


Which structure loses on stability? C does.


--- A ---
Computed, not measured: an optimized crystal structure of La4PmMg at the PBE-GGA level of DFT.

```
La4PmMg
1.0
3.768 0.000 0.000
0.000 3.768 0.000
0.000 0.000 14.573
La Pm Mg
4 1 1
Direct
0.500 0.500 0.175 La
0.000 0.000 0.651 La
0.000 0.000 0.349 La
0.500 0.500 0.825 La
0.000 0.000 0.000 Pm
0.500 0.500 0.500 Mg
```

Results
Calculated volume (Å³/atom): 34.5
Symmetry: P4/mmm
Crystal system: tetragonal


--- B ---
Computed, not measured: an optimized crystal structure of La4PmMg at the PBE-GGA level of DFT.

```
La4PmMg
1.0
6.192 0.485 -1.146
2.553 5.663 -1.146
-0.932 -0.656 12.308
La Pm Mg
8 2 2
Direct
0.253 0.411 0.750 La
0.159 0.679 0.502 La
0.841 0.321 0.498 La
0.411 0.253 0.250 La
0.589 0.747 0.750 La
0.321 0.841 0.998 La
0.679 0.159 0.002 La
0.747 0.589 0.250 La
0.500 0.000 0.500 Pm
0.000 0.500 0.000 Pm
0.084 0.916 0.250 Mg
0.916 0.084 0.750 Mg
```

Results
Calculated volume (Å³/atom): 34.0
Symmetry: C2/c
Crystal system: monoclinic


Which structure loses on stability? B does.